No. 1
Compound: LaPmNdAg
Source: the Alexandria database
Functional: PBE
Structure: optimized geometry

Cell: 3.7601 3.7601 8.7326 Å, 90.00 90.00 90.00°
Last column: nearest neighbours and their distance in Å.
Space group P4mm (No. 99)
One atom of each set of equivalent atoms:
La 0.0000 0.0000 0.0000 (multiplicity 1)  4 Pm 3.66, 4 Nd 3.67, 4 La 3.76
Pm 0.5000 0.5000 0.2878 (multiplicity 1)  4 Ag 3.22
Nd 0.5000 0.5000 0.7096 (multiplicity 1)  4 Ag 3.25
Ag 0.0000 0.0000 0.4955 (multiplicity 1)  4 Pm 3.22, 4 Nd 3.25

=====

No. 2
Compound: YIrW2
Source: the Alexandria database
Functional: PBE
Structure: optimized geometry

Cell: 2.8692 4.8401 5.2065 Å, 90.00 100.55 90.00°
Last column: nearest neighbours and their distance in Å.
Space group P2/m (No. 10)
One atom of each set of equivalent atoms:
Y 0.0000 0.0000 0.0000 (multiplicity 1)  2 Ir 2.73, 2 Y 2.87, 4 W 2.92
Ir 0.5000 0.0000 0.5000 (multiplicity 1)  2 Y 2.73, 2 Ir 2.87, 4 W 2.88
W 0.2737 0.5000 0.7494 (multiplicity 2)  4 W 2.69-2.87, 2 Ir 2.88, 2 Y 2.92

=====

No. 3
Compound: Zr4CdFe
Source: the Alexandria database
Functional: PBE
Structure: optimized geometry

Cell: 7.5791 6.7159 5.5533 Å, 90.00 107.27 90.00°
Last column: nearest neighbours and their distance in Å.
Space group P2_1/c (No. 14)
One atom of each set of equivalent atoms:
Zr 0.1407 0.1498 0.1495 (multiplicity 4)  2 Fe 2.61-2.68
Zr 0.2572 0.6658 0.2998 (multiplicity 4)  1 Fe 2.43
Cd 0.5000 0.0000 0.5000 (multiplicity 2)  6 Zr 2.91-3.04
Fe 0.0000 0.0000 0.5000 (multiplicity 2)  6 Zr 2.43-2.68

=====

E_form per entry: -0.112 0.290 0.124 eV per atom
DFT total energy per entry: -4.44 -10.02 -7.14 eV/atom
Energy above the most stable polymorph in this dataset per entry: 0 217 0 meV/atom